Compound: Ta2AsIr
Source: Alexandria via LeMat-Bulk
Functional: PBE
Structure: relaxed

Computed properties:
V = 144.1 Å³ per cell
Space group = No. 122
E_form = 0.0147 eV/atom

```
data_Ta2AsIr
_symmetry_space_group_name_H-M 'P 1'
_symmetry_Int_Tables_number 1
_symmetry_space_group_name_Hall 'P 1'
_cell_length_a 7.084
_cell_length_b 7.084
_cell_length_c 5.774
_cell_angle_alpha 52.16
_cell_angle_beta 52.16
_cell_angle_gamma 90.00
loop_
_atom_site_label
_atom_site_type_symbol
_atom_site_fract_x
_atom_site_fract_y
_atom_site_fract_z
As1 As 0.500 0.500 0.000
As2 As 0.250 0.750 0.500
Ir1 Ir 0.000 0.000 0.000
Ir2 Ir 0.750 0.250 0.500
Ta1 Ta 0.123 0.625 0.250
Ta2 Ta 0.627 0.125 0.250
Ta3 Ta 0.875 0.877 0.750
Ta4 Ta 0.375 0.373 0.750
```